VASP calculation (PBE-GGA) on an optimized crystal structure of Y3Ge2Ru2.

## Properties
Formation enthalpy at 0 K   -0.703 eV per atom
VASP energy   -208.403 eV/cell
Spin magnetization   0.00 μB per formula unit

Cell: 5.5809 7.7241 13.6251 Å, 90.00 90.00 90.00°
Space group Pbcm (No. 57)
One atom of each set of equivalent atoms:
1 Y 0.1262 0.2348 0.2500
2 Y 0.3517 0.5983 0.0997
3 Ge 0.1257 0.2500 0.0000
4 Ge 0.3715 0.6127 0.7500
5 Ru 0.1466 0.5329 0.5912

---

VASP calculation (PBE-GGA) on an optimized crystal structure of BaPmSi4.

## Properties
VASP energy   -117.329 eV/cell
Spin magnetization   0.00 μB per formula unit
Distance to the lowest polymorph of the same formula   23.0 kJ/mol of atoms
Formation energy without anion corrections   -0.16 eV per atom

Cell: 8.0882 8.0882 8.0882 Å, 90.00 90.00 90.00°
Space group F-43m (No. 216)
One atom of each set of equivalent atoms:
1 Ba 0.0000 0.0000 0.0000
2 Pm 0.2500 0.2500 0.7500
3 Si 0.1096 0.1096 0.3904

---

VASP calculation (PBE-GGA) on an optimized crystal structure of Li12Sn6Ir.

## Properties
Formation enthalpy at 0 K   -0.322 eV per atom
VASP energy   -185.886 eV/cell
Spin magnetization   0.00 μB per formula unit

Cell: 10.0169 10.0169 12.7248 Å, 90.00 90.00 120.00°
Space group R-3 (No. 148, hexagonal axes)
One atom of each set of equivalent atoms:
1 Li 0.0421 0.1840 0.3232
2 Li 0.0674 0.8393 0.9138
3 Sn 0.0243 0.4370 0.2130
4 Ir 0.0000 0.0000 0.5000

---

VASP calculation (PBE-GGA) on an optimized crystal structure of YZnIrRu.

## Properties
Formation enthalpy at 0 K   -0.172 eV per atom
VASP energy   -53.124 eV/cell
Spin magnetization   0.00 μB per formula unit
Distance to the lowest polymorph of the same formula   13.8 kJ/mol of atoms

Cell: 4.5634 4.5783 6.4888 Å, 90.00 90.00 90.00°
Space group Imm2 (No. 44)
One atom of each set of equivalent atoms:
1 Y 0.0000 0.0000 0.0000
2 Zn 0.0000 0.0000 0.5001
3 Ir 0.0000 0.5000 0.2494
4 Ru 0.0000 0.5000 0.7508

---

VASP calculation (PBE-GGA) on an optimized crystal structure of Ta2TiMo.

## Properties
Formation enthalpy at 0 K   -0.062 eV per atom
VASP energy   -42.681 eV/cell
Spin magnetization   0.00 μB per formula unit

Cell: 3.2318 3.2318 6.6041 Å, 90.00 90.00 90.00°
Space group P4/mmm (No. 123)
One atom of each set of equivalent atoms:
1 Ta 0.0000 0.0000 0.2379
2 Ti 0.5000 0.5000 0.5000
3 Mo 0.5000 0.5000 0.0000

---

VASP calculation (PBE-GGA) on an optimized crystal structure of K2TbBr6.

## Properties
VASP energy   -60.693 eV/cell
Spin magnetization   1.03 μB per formula unit
Formation energy without anion corrections   -1.50 eV per atom

Cell: 4.5105 14.8486 8.5484 Å, 90.00 90.00 90.00°
Space group Amm2 (No. 38)
One atom of each set of equivalent atoms:
1 K 0.0000 0.1671 0.0000
2 Tb 0.5000 0.0000 0.5009
3 Br 0.0000 0.0000 0.7372
4 Br 0.0000 0.1179 0.3822
5 Br 0.5000 0.0000 0.1451
6 Br 0.5000 0.1777 0.6783

---

VASP calculation (PBE-GGA) on an optimized crystal structure of ZrBePb3.

## Properties
Formation enthalpy at 0 K   0.908 eV per atom
VASP energy   -18.860 eV/cell
Spin magnetization   0.00 μB per formula unit
Distance to the lowest polymorph of the same formula   27.3 kJ/mol of atoms

Cell: 5.6837 5.6837 5.6837 Å, 90.00 90.00 90.00°
Space group Pm-3m (No. 221)
One atom of each set of equivalent atoms:
1 Zr 0.0000 0.0000 0.0000
2 Be 0.5000 0.5000 0.5000
3 Pb 0.0000 0.0000 0.5000

---

VASP calculation (PBE-GGA) on an optimized crystal structure of NdSmZnRh.

## Properties
Formation enthalpy at 0 K   -0.528 eV per atom
VASP energy   -40.448 eV/cell
Spin magnetization   0.00 μB per formula unit
Distance to the lowest polymorph of the same formula   0.0 kJ/mol of atoms

Cell: 4.4412 4.0007 10.8688 Å, 90.00 90.00 90.00°
Space group Amm2 (No. 38)
One atom of each set of equivalent atoms:
1 Nd 0.0000 0.0000 0.0000
2 Sm 0.5000 0.0000 0.2778
3 Zn 0.5000 0.0000 0.5701
4 Rh 0.0000 0.0000 0.7129

---

VASP calculation (PBE-GGA) on an optimized crystal structure of LaHgAs2.

## Properties
Formation enthalpy at 0 K   -0.538 eV per atom
VASP energy   -33.364 eV/cell
Spin magnetization   0.00 μB per formula unit

Cell: 10.3729 4.5583 4.6170 Å, 90.00 114.92 90.00°
Space group C2/m (No. 12)
One atom of each set of equivalent atoms:
1 La 0.0000 0.0000 0.0000
2 Hg 0.0000 0.5000 0.5000
3 As 0.2461 0.0000 0.6816

---

VASP calculation (PBE-GGA) on an optimized crystal structure of Sm2PuMn.

## Properties
Formation enthalpy at 0 K   0.221 eV per atom
VASP energy   -32.058 eV/cell
Spin magnetization   9.65 μB per formula unit

Cell: 3.4920 3.4920 8.8580 Å, 90.00 90.00 90.00°
Space group P4/mmm (No. 123)
One atom of each set of equivalent atoms:
1 Sm 0.0000 0.0000 0.2091
2 Pu 0.5000 0.5000 0.5000
3 Mn 0.5000 0.5000 0.0000

---

VASP calculation (PBE-GGA) on an optimized crystal structure of V5Cr3Pd12.

## Properties
Formation enthalpy at 0 K   0.523 eV per atom
VASP energy   -1010.477 eV/cell
Spin magnetization   3.24 μB per formula unit

Cell: 14.3973 14.3973 14.3973 Å, 90.00 90.00 90.00°
Space group Ia-3d (No. 230)
One atom of each set of equivalent atoms:
1 V 0.0000 0.0000 0.0000
2 V 0.0000 0.2500 0.3750
3 Cr 0.0000 0.2500 0.1250
4 Pd 0.0168 0.0764 0.6511

---

The highest spin magnetization belongs to which entry?
Sm2PuMn

---

The lowest VASP energy belongs to which entry?
V5Cr3Pd12

---

Which value of spin magnetization does entry 9 give?
0.00 μB per formula unit